# 1
Material: LaTc2Ir
Method: DFT, PBE-GGA
State: optimized geometry

Unit cell a=4.0797 b=4.0797 c=19.9795 alpha=90.00 beta=90.00 gamma=90.00
Space group I-42d (No. 122)
One atom of each set of equivalent atoms:
La 0.0000 0.0000 0.0000
Tc 0.1507 0.2500 0.6250
Ir 0.0000 0.0000 0.5000

Formation enthalpy at 0 K, kJ per mole of atoms: 35.0
Relative energy among the computed polymorphs, eV per formula unit: 1.16
Energy, eV per atom: -8.267



# 2
Material: LaTcIr
Method: DFT, PBE-GGA
State: optimized geometry

Unit cell a=4.5412 b=5.0978 c=10.9886 alpha=90.00 beta=90.00 gamma=90.00
Space group Fmm2 (No. 42)
One atom of each set of equivalent atoms:
La 0.0000 0.0000 0.0000
Tc 0.0000 0.0000 0.7094
Ir 0.0000 0.0000 0.2944

Formation enthalpy at 0 K, kJ per mole of atoms: 9.2
Relative energy among the computed polymorphs, eV per formula unit: 0.81
Energy, eV per atom: -7.956



# 3
Material: La2TcIr
Method: DFT, PBE-GGA
State: optimized geometry

Unit cell a=7.6044 b=7.6044 c=6.3148 alpha=90.00 beta=90.00 gamma=90.00
Space group I-42d (No. 122)
One atom of each set of equivalent atoms:
La 0.2423 0.2500 0.1250
Tc 0.0000 0.0000 0.0000
Ir 0.0000 0.0000 0.5000

Formation enthalpy at 0 K, kJ per mole of atoms: 17.6
Relative energy among the computed polymorphs, eV per formula unit: 1.66
Energy, eV per atom: -7.088



# 4
Material: LaTc2Ir
Method: DFT, PBE-GGA
State: optimized geometry

Unit cell a=4.4193 b=4.4193 c=7.3371 alpha=90.00 beta=90.00 gamma=90.00
Space group I-4m2 (No. 119)
One atom of each set of equivalent atoms:
La 0.0000 0.0000 0.0000
Tc 0.0000 0.0000 0.5000
Tc 0.0000 0.5000 0.7500
Ir 0.0000 0.5000 0.2500

Formation enthalpy at 0 K, kJ per mole of atoms: 34.4
Relative energy among the computed polymorphs, eV per formula unit: 1.13
Energy, eV per atom: -8.274



# 5
Material: LaTcIr
Method: DFT, PBE-GGA
State: optimized geometry

Unit cell a=2.9014 b=3.9371 c=10.7835 alpha=90.00 beta=90.00 gamma=90.00
Space group Imm2 (No. 44)
One atom of each set of equivalent atoms:
La 0.0000 0.0000 0.0000
Tc 0.0000 0.0000 0.7118
Ir 0.0000 0.0000 0.2938

Formation enthalpy at 0 K, kJ per mole of atoms: -0.3
Relative energy among the computed polymorphs, eV per formula unit: 0.51
Energy, eV per atom: -8.055



# 6
Material: LaTcIr2
Method: DFT, PBE-GGA
State: optimized geometry

Unit cell a=2.9445 b=2.9445 c=8.1813 alpha=90.00 beta=90.00 gamma=90.00
Space group P4/mmm (No. 123)
One atom of each set of equivalent atoms:
La 0.0000 0.0000 0.0000
Tc 0.0000 0.0000 0.5000
Ir 0.5000 0.5000 0.2920

Formation enthalpy at 0 K, kJ per mole of atoms: -9.2
Relative energy among the computed polymorphs, eV per formula unit: 0.00
Energy, eV per atom: -8.349



# 7
Material: La3TcIr
Method: DFT, PBE-GGA
State: optimized geometry

Unit cell a=5.3056 b=5.3056 c=5.3056 alpha=90.00 beta=90.00 gamma=90.00
Space group Pm-3m (No. 221)
One atom of each set of equivalent atoms:
La 0.0000 0.0000 0.5000
Tc 0.0000 0.0000 0.0000
Ir 0.5000 0.5000 0.5000

Formation enthalpy at 0 K, kJ per mole of atoms: 25.1
Relative energy among the computed polymorphs, eV per formula unit: 0.00
Energy, eV per atom: -6.541



# 8
Material: La2TcIr
Method: DFT, PBE-GGA
State: optimized geometry

Unit cell a=7.1564 b=7.1564 c=7.1564 alpha=90.00 beta=90.00 gamma=90.00
Space group Fm-3m (No. 225)
One atom of each set of equivalent atoms:
La 0.2500 0.2500 0.2500
Tc 0.0000 0.0000 0.0000
Ir 0.0000 0.0000 0.5000

Formation enthalpy at 0 K, kJ per mole of atoms: -5.7
Relative energy among the computed polymorphs, eV per formula unit: 0.69
Energy, eV per atom: -7.330



Look up the formation enthalpy at 0 K of the fourth one.
34.4 kJ per mole of atoms



Which formula does entry 8 have?
La2TcIr



Number 6 is which compound?
LaTcIr2